9
Lattice="-4.4498 4.4498 2.3884 4.4498 -4.4498 2.3884 4.4498 4.4498 -2.3884" Properties=species:S:1:pos:R:3 comment="Ce4IrRu4 (PBE-GGA, relaxed)" magmom_total_mub_per_fu=0.0 energy_ry_per_atom=-0.5863 n_ef_per_ev_cell=9.015 formation_energy_ev_per_atom=-0.233 pbc="T T T"
Ce 6.2410 0.8661 0.0000
Ce 0.8661 2.6587 0.0000
Ce 3.5838 1.7911 2.3884
Ce -1.7911 3.5838 2.3884
Ir 0.0000 0.0000 0.0000
Ru 4.0898 2.5146 0.0000
Ru 1.9352 -0.3600 2.3884
Ru 2.5146 4.8099 0.0000
Ru 0.3600 1.9352 2.3884

20
Lattice="5.1302 -5.1938 0.0000 5.1302 5.1938 0.0000 -2.1702 0.0000 6.5218" Properties=species:S:1:pos:R:3 comment="CsSmAs2O6 (PBE-GGA, relaxed)" magmom_total_mub_per_fu=0.0 energy_ry_per_atom=-0.4620 n_ef_per_ev_cell=3.353 formation_energy_uncorrected_mev_per_atom=-1824.0 pbc="T T T"
Cs 3.5025 3.1090 4.8914
Cs 4.5876 -3.1090 1.6305
Sm 4.5876 1.0729 1.6305
Sm 3.5025 -1.0729 4.8914
As 0.3247 0.7768 5.2045
As 1.4098 -0.7768 1.9436
As 6.6803 0.7768 4.5783
As 7.7654 -0.7768 1.3173
O 2.9713 2.7191 1.6406
O 1.5750 0.1099 0.2907
O 0.4899 -0.1099 3.5516
O 2.0086 0.6595 5.8147
O 6.2039 2.7191 1.6203
O 3.0937 -0.6595 2.5538
O 4.9963 0.6595 3.9680
O 1.8862 -2.7191 4.9016
O 6.0815 -0.6595 0.7071
O 7.6002 0.1099 2.9702
O 6.5151 -0.1099 6.2311
O 5.1188 -2.7191 4.8812

8
Lattice="-3.8195 3.8195 3.0600 3.8195 -3.8195 3.0600 3.8195 3.8195 -3.0600" Properties=species:S:1:pos:R:3 comment="CuPb2W (PBE-GGA, relaxed)" relative_energy_kcal_per_mol_atoms=15.19 magmom_total_mub_per_fu=1.9 energy_ry_per_atom=-0.3614 n_ef_per_ev_cell=8.166 formation_energy_ev_per_atom=1.200 pbc="T T T"
Cu 0.0000 0.0000 0.0000
Cu 0.0000 3.8195 1.5300
Pb 5.7292 1.7411 -0.7650
Pb 1.7411 1.9097 0.7650
Pb -1.9097 2.0783 2.2950
Pb 2.0783 1.9097 3.8250
W 3.8195 0.0000 1.5300
W 0.0000 0.0000 3.0600